! Ce2Ni4Sb3Au | Alexandria | PBE-GGA | optimized geometry; values from VASP
! - V (Å³ per cell) = 194
! - crystal system = tetragonal
! - SG = P-4m2 (115)
! - electronic total energy (eV per formula unit) = -56.53
! - formation energy (no corrections) (kJ per mole of atoms) = -56.9
&SYSTEM
  ibrav = 0, nat = 10, ntyp = 4
/
ATOMIC_SPECIES
Ni 58.69 Ni.upf
Au 196.97 Au.upf
Ce 140.12 Ce.upf
Sb 121.76 Sb.upf
CELL_PARAMETERS angstrom
4.407 0.000 0.000
0.000 4.407 0.000
0.000 0.000 10.012
ATOMIC_POSITIONS crystal
Ni 0.500 0.500 0.000
Ni 0.500 0.000 0.627
Ni 0.000 0.000 0.000
Ni 0.000 0.500 0.373
Au 0.500 0.500 0.500
Ce 0.500 0.000 0.242
Ce 0.000 0.500 0.758
Sb 0.500 0.000 0.872
Sb 0.000 0.500 0.128
Sb 0.000 0.000 0.500



! Ce2Si4Ni3Au | Alexandria | PBE-GGA | optimized geometry; values from VASP
! - V (Å³ per cell) = 162
! - crystal system = tetragonal
! - SG = P-4m2 (115)
! - electronic total energy (eV per formula unit) = -61.83
! - formation energy (no corrections) (kJ per mole of atoms) = -73.8
&SYSTEM
  ibrav = 0, nat = 10, ntyp = 4
/
ATOMIC_SPECIES
Ni 58.69 Ni.upf
Si 28.09 Si.upf
Au 196.97 Au.upf
Ce 140.12 Ce.upf
CELL_PARAMETERS angstrom
-1.171 -3.905 -0.325
0.009 -0.342 4.075
-9.291 2.765 0.252
ATOMIC_POSITIONS crystal
Ni 0.000 0.500 0.117
Ni 0.000 0.000 0.500
Ni 0.500 0.000 0.883
Si 0.500 0.500 0.000
Si 0.000 0.000 0.000
Si 0.000 0.500 0.355
Si 0.500 0.000 0.645
Au 0.500 0.500 0.500
Ce 0.000 0.500 0.760
Ce 0.500 0.000 0.240



! CeNiSnAu | Alexandria | PBE-GGA | optimized geometry; values from VASP
! - V (Å³ per cell) = 82
! - crystal system = cubic
! - SG = F-43m (216)
! - energy of formation from the pure elements (eV/atom) = -0.462
! - electronic total energy (eV per formula unit) = -20.84
&SYSTEM
  ibrav = 0, nat = 4, ntyp = 4
/
ATOMIC_SPECIES
Ce 140.12 Ce.upf
Ni 58.69 Ni.upf
Sn 118.71 Sn.upf
Au 196.97 Au.upf
CELL_PARAMETERS angstrom
4.874 0.000 0.000
2.437 4.221 0.000
2.437 1.407 3.980
ATOMIC_POSITIONS crystal
Ce 0.500 0.500 0.500
Ni 0.250 0.250 0.250
Sn 0.000 0.000 0.000
Au 0.750 0.750 0.750